Record 1
Here is Hf2Zr3Cd2 after structural relaxation from the Alexandria database. Energies are from PBE-GGA.

Calculated values
Formation energy   0.032 eV/atom
Total magnetization   0.000 μB/atom

CIF file:
```
data_Hf2Zr3Cd2
_cell_length_a 4.835
_cell_length_b 21.159
_cell_length_c 3.064
_cell_angle_alpha 90.00
_cell_angle_beta 90.00
_cell_angle_gamma 90.00
_space_group_name_H-M_alt 'C m m m'
_space_group_IT_number 65
_space_group_name_Hall '-C 2 2'
loop_
_atom_site_label
_atom_site_type_symbol
_atom_site_fract_x
_atom_site_fract_y
_atom_site_fract_z
Hf1 Hf 0.000 0.221 0.000
Zr1 Zr 0.000 0.353 0.500
Zr2 Zr 0.000 0.500 0.500
Cd1 Cd 0.000 0.072 0.000
```

=====

Record 2
Here is SbAsP2 after structural relaxation from the Alexandria database. Energies are from PBE-GGA.

Calculated values
Polymorph energy (0 for the lowest one)   0.1710 eV/atom
Total magnetization   0.000 μB/atom
Formation energy (no corrections)   0.257 eV/atom

CIF file:
```
data_SbAsP2
_cell_length_a 5.392
_cell_length_b 5.392
_cell_length_c 5.541
_cell_angle_alpha 90.00
_cell_angle_beta 90.00
_cell_angle_gamma 90.00
_space_group_name_H-M_alt 'I 4/m m m'
_space_group_IT_number 139
_space_group_name_Hall '-I 4 2'
loop_
_atom_site_label
_atom_site_type_symbol
_atom_site_fract_x
_atom_site_fract_y
_atom_site_fract_z
Sb1 Sb 0.000 0.000 0.000
As1 As 0.000 0.000 0.500
P1 P 0.000 0.500 0.000
```

=====

Record 3
Here is CaCoI after structural relaxation from the Alexandria database. Energies are from PBE-GGA.

Calculated values
Total magnetization   0.000 μB/atom
Formation energy (no corrections)   -0.122 eV/atom

CIF file:
```
data_CaCoI
_cell_length_a 4.2061
_cell_length_b 4.2061
_cell_length_c 8.8060
_cell_angle_alpha 90.00
_cell_angle_beta 90.00
_cell_angle_gamma 120.00
_space_group_name_H-M_alt 'P 63/m m c'
_space_group_IT_number 194
_space_group_name_Hall '-P 6c 2c'
loop_
_atom_site_label
_atom_site_type_symbol
_atom_site_fract_x
_atom_site_fract_y
_atom_site_fract_z
Ca1 Ca 0.0000 0.0000 0.0000
Co1 Co 0.3333 0.6667 0.2500
I1 I 0.3333 0.6667 0.7500
```

=====

Record 4
Here is LiNb3Tl after structural relaxation from the Alexandria database. Energies are from PBE-GGA.

Calculated values
Polymorph energy (0 for the lowest one)   0.0000 eV/atom
Formation energy   0.928 eV/atom
Total magnetization   0.000 μB/atom

CIF file:
```
data_LiNb3Tl
_cell_length_a 4.498
_cell_length_b 4.498
_cell_length_c 4.498
_cell_angle_alpha 90.00
_cell_angle_beta 90.00
_cell_angle_gamma 90.00
_space_group_name_H-M_alt 'P m -3 m'
_space_group_IT_number 221
_space_group_name_Hall '-P 4 2 3'
loop_
_atom_site_label
_atom_site_type_symbol
_atom_site_fract_x
_atom_site_fract_y
_atom_site_fract_z
Li1 Li 0.000 0.000 0.000
Nb1 Nb 0.000 0.000 0.500
Tl1 Tl 0.500 0.500 0.500
```

=====

Record 5
Here is Th4TlPb after structural relaxation from the Alexandria database. Energies are from PBE-GGA.

Calculated values
Polymorph energy (0 for the lowest one)   0.0000 eV/atom
Formation energy   -0.150 eV/atom
Total magnetization   0.000 μB/atom

CIF file:
```
data_Th4TlPb
_cell_length_a 7.743
_cell_length_b 7.743
_cell_length_c 6.343
_cell_angle_alpha 90.00
_cell_angle_beta 90.00
_cell_angle_gamma 90.00
_space_group_name_H-M_alt 'P 4/m c c'
_space_group_IT_number 124
_space_group_name_Hall '-P 4 2c'
loop_
_atom_site_label
_atom_site_type_symbol
_atom_site_fract_x
_atom_site_fract_y
_atom_site_fract_z
Th1 Th 0.151 0.347 0.000
Tl1 Tl 0.000 0.000 0.250
Pb1 Pb 0.500 0.500 0.250
```

=====

Record 6
Here is BaTa2Pt after structural relaxation from the Alexandria database. Energies are from PBE-GGA.

Calculated values
Polymorph energy (0 for the lowest one)   0.5972 eV/atom
Formation energy   0.729 eV/atom
Total magnetization   0.000 μB/atom

CIF file:
```
data_BaTa2Pt
_cell_length_a 5.844
_cell_length_b 10.590
_cell_length_c 2.949
_cell_angle_alpha 90.00
_cell_angle_beta 110.84
_cell_angle_gamma 90.00
_space_group_name_H-M_alt 'C 1 2/m 1'
_space_group_IT_number 12
loop_
_space_group_symop_operation_xyz
'x,y,z'
'-x,-y,-z'
'-x,y,-z'
'x,-y,z'
'x+1/2,y+1/2,z'
'-x+1/2,-y+1/2,-z'
'-x+1/2,y+1/2,-z'
'x+1/2,-y+1/2,z'
loop_
_atom_site_label
_atom_site_type_symbol
_atom_site_fract_x
_atom_site_fract_y
_atom_site_fract_z
Ba1 Ba 0.000 0.000 0.000
Ta1 Ta 0.250 0.250 0.500
Pt1 Pt 0.000 0.500 0.000
```

=====

total magnetization of number 4 (LiNb3Tl)? 0.000 μB/atom

=====

Look up the total magnetization of the first one. 0.000 μB/atom